(1)
# Ag3Pt3Au, optimized geometry, DFT PBE
# DFT total energy, eV per atom: -4.26
# Volume, Å³ per atom: 16.80
# Spin magnetization, μB/f.u.: 0.00
data_Ag3Pt3Au
_cell_length_a 7.5980
_cell_length_b 7.5980
_cell_length_c 4.7052
_cell_angle_alpha 90.00
_cell_angle_beta 90.00
_cell_angle_gamma 120.00
_space_group_name_H-M_alt 'P 63/m'
_space_group_IT_number 176
_space_group_name_Hall '-P 6c'
loop_
_atom_site_label
_atom_site_type_symbol
_atom_site_fract_x
_atom_site_fract_y
_atom_site_fract_z
Ag1 Ag 0.0931 0.6213 0.2500
Pt1 Pt 0.0459 0.8155 0.7500
Au1 Au 0.3333 0.6667 0.7500

(2)
# ReSiPb4, optimized geometry, DFT PBE
# Energy relative to the elements, uncorrected, eV per atom: 1.354
# Volume, Å³ per atom: 28.63
# Spin magnetization, μB/f.u.: 2.84
data_ReSiPb4
_cell_length_a 8.825
_cell_length_b 8.825
_cell_length_c 8.825
_cell_angle_alpha 90.00
_cell_angle_beta 90.00
_cell_angle_gamma 90.00
_space_group_name_H-M_alt 'F -4 3 m'
_space_group_IT_number 216
_space_group_name_Hall 'F -4 2 3'
loop_
_atom_site_label
_atom_site_type_symbol
_atom_site_fract_x
_atom_site_fract_y
_atom_site_fract_z
Re1 Re 0.000 0.000 0.000
Si1 Si 0.250 0.250 0.750
Pb1 Pb 0.125 0.125 0.375

(3)
# Li3Mg3CdAg2, optimized geometry, DFT PBE
# DFT total energy, eV per atom: -2.09
# Volume, Å³ per atom: 18.94
# Spin magnetization, μB/f.u.: 0.00
data_Li3Mg3CdAg2
_cell_length_a 8.0994
_cell_length_b 8.0994
_cell_length_c 3.0003
_cell_angle_alpha 90.00
_cell_angle_beta 90.00
_cell_angle_gamma 120.00
_space_group_name_H-M_alt 'P -6 2 m'
_space_group_IT_number 189
_space_group_name_Hall 'P -6 -2'
loop_
_atom_site_label
_atom_site_type_symbol
_atom_site_fract_x
_atom_site_fract_y
_atom_site_fract_z
Li1 Li 0.0000 0.6956 0.0000
Mg1 Mg 0.0000 0.3748 0.5000
Cd1 Cd 0.0000 0.0000 0.5000
Ag1 Ag 0.3333 0.6667 0.0000

(4)
# Be2PbF6, optimized geometry, DFT PBE
# ΔE to the lowest computed polymorph, meV per atom: 6.1
# Energy relative to the elements, uncorrected, eV per atom: -2.953
# Volume, Å³ per atom: 13.31
# Spin magnetization, μB/f.u.: 0.00
data_Be2PbF6
_cell_length_a 10.645
_cell_length_b 9.892
_cell_length_c 5.030
_cell_angle_alpha 90.00
_cell_angle_beta 115.22
_cell_angle_gamma 90.00
_space_group_name_H-M_alt 'C 1 2/c 1'
_space_group_IT_number 15
loop_
_space_group_symop_operation_xyz
'x,y,z'
'-x,-y,-z'
'-x,y,-z+1/2'
'x,-y,z+1/2'
'x+1/2,y+1/2,z'
'-x+1/2,-y+1/2,-z'
'-x+1/2,y+1/2,-z+1/2'
'x+1/2,-y+1/2,z+1/2'
loop_
_atom_site_label
_atom_site_type_symbol
_atom_site_fract_x
_atom_site_fract_y
_atom_site_fract_z
Be1 Be 0.201 0.069 0.318
Pb1 Pb 0.000 0.332 0.750
F1 F 0.136 0.449 0.529
F2 F 0.144 0.040 0.556
F3 F 0.162 0.209 0.181

(5)
# SrCa4Si4, optimized geometry, DFT PBE
# Energy relative to the elements, uncorrected, eV per atom: -0.310
# Volume, Å³ per atom: 30.25
# Spin magnetization, μB/f.u.: 0.00
data_SrCa4Si4
_cell_length_a 9.597
_cell_length_b 9.597
_cell_length_c 5.912
_cell_angle_alpha 90.00
_cell_angle_beta 90.00
_cell_angle_gamma 90.00
_space_group_name_H-M_alt 'P 42/n'
_space_group_IT_number 86
loop_
_space_group_symop_operation_xyz
'x,y,z'
'-x,-y,-z'
'-y,x+1/2,z+1/2'
'y,-x+1/2,-z+1/2'
'-x+1/2,-y+1/2,z'
'x+1/2,y+1/2,-z'
'y+1/2,-x,z+1/2'
'-y+1/2,x,-z+1/2'
loop_
_atom_site_label
_atom_site_type_symbol
_atom_site_fract_x
_atom_site_fract_y
_atom_site_fract_z
Sr1 Sr 0.250 0.250 0.250
Ca1 Ca 0.097 0.641 0.120
Si1 Si 0.038 0.593 0.617

(6)
# CaMg2Os, optimized geometry, DFT PBE
# DFT total energy, eV per atom: -3.87
# Volume, Å³ per atom: 19.51
# Spin magnetization, μB/f.u.: 0.00
data_CaMg2Os
_cell_length_a 6.784
_cell_length_b 6.784
_cell_length_c 6.784
_cell_angle_alpha 90.00
_cell_angle_beta 90.00
_cell_angle_gamma 90.00
_space_group_name_H-M_alt 'F m -3 m'
_space_group_IT_number 225
_space_group_name_Hall '-F 4 2 3'
loop_
_atom_site_label
_atom_site_type_symbol
_atom_site_fract_x
_atom_site_fract_y
_atom_site_fract_z
Ca1 Ca 0.000 0.000 0.000
Mg1 Mg 0.250 0.250 0.250
Os1 Os 0.000 0.000 0.500

(7)
# KBe2Ag, optimized geometry, DFT PBE
# ΔE to the lowest computed polymorph, meV per atom: 620.4
# Volume, Å³ per atom: 17.30
# Spin magnetization, μB/f.u.: 0.00
data_KBe2Ag
_cell_length_a 2.8876
_cell_length_b 2.8876
_cell_length_c 28.7548
_cell_angle_alpha 90.00
_cell_angle_beta 90.00
_cell_angle_gamma 120.00
_space_group_name_H-M_alt 'R -3 m'
_space_group_IT_number 166
_space_group_name_Hall '-R 3 2"'
loop_
_atom_site_label
_atom_site_type_symbol
_atom_site_fract_x
_atom_site_fract_y
_atom_site_fract_z
K1 K 0.0000 0.0000 0.0000
Be1 Be 0.0000 0.0000 0.2346
Ag1 Ag 0.0000 0.0000 0.5000

(8)
# AgOs4Au, optimized geometry, DFT PBE
# DFT total energy, eV per atom: -7.55
# Volume, Å³ per atom: 16.60
# Spin magnetization, μB/f.u.: 0.00
data_AgOs4Au
_cell_length_a 7.358
_cell_length_b 7.358
_cell_length_c 7.358
_cell_angle_alpha 90.00
_cell_angle_beta 90.00
_cell_angle_gamma 90.00
_space_group_name_H-M_alt 'F -4 3 m'
_space_group_IT_number 216
_space_group_name_Hall 'F -4 2 3'
loop_
_atom_site_label
_atom_site_type_symbol
_atom_site_fract_x
_atom_site_fract_y
_atom_site_fract_z
Ag1 Ag 0.000 0.000 0.000
Os1 Os 0.125 0.125 0.375
Au1 Au 0.250 0.250 0.750

(9)
# La8Sn2Ir3, optimized geometry, DFT PBE
# DFT total energy, eV per atom: -6.27
# Volume, Å³ per atom: 31.54
# Spin magnetization, μB/f.u.: 0.00
data_La8Sn2Ir3
_cell_length_a 9.331
_cell_length_b 5.119
_cell_length_c 9.343
_cell_angle_alpha 90.00
_cell_angle_beta 113.27
_cell_angle_gamma 90.00
_space_group_name_H-M_alt 'P 1 2/m 1'
_space_group_IT_number 10
loop_
_space_group_symop_operation_xyz
'x,y,z'
'-x,-y,-z'
'-x,y,-z'
'x,-y,z'
loop_
_atom_site_label
_atom_site_type_symbol
_atom_site_fract_x
_atom_site_fract_y
_atom_site_fract_z
La1 La 0.107 0.000 0.393
La2 La 0.147 0.500 0.869
La3 La 0.368 0.500 0.647
La4 La 0.387 0.000 0.113
Sn1 Sn 0.242 0.500 0.257
Ir1 Ir 0.246 0.000 0.747
Ir2 Ir 0.500 0.500 0.000

(10)
# NaCdInSb, optimized geometry, DFT PBE
# Energy relative to the elements, uncorrected, eV per atom: -0.077
# Volume, Å³ per atom: 26.72
# Spin magnetization, μB/f.u.: 0.00
data_NaCdInSb
_cell_length_a 7.534
_cell_length_b 7.534
_cell_length_c 7.534
_cell_angle_alpha 90.00
_cell_angle_beta 90.00
_cell_angle_gamma 90.00
_space_group_name_H-M_alt 'F -4 3 m'
_space_group_IT_number 216
_space_group_name_Hall 'F -4 2 3'
loop_
_atom_site_label
_atom_site_type_symbol
_atom_site_fract_x
_atom_site_fract_y
_atom_site_fract_z
Na1 Na 0.000 0.000 0.000
Cd1 Cd 0.000 0.000 0.500
In1 In 0.250 0.250 0.250
Sb1 Sb 0.250 0.250 0.750

(11)
# Zr6ZnCu5, optimized geometry, DFT PBE
# DFT total energy, eV per atom: -6.22
# Volume, Å³ per atom: 17.76
# Spin magnetization, μB/f.u.: 0.00
data_Zr6ZnCu5
_cell_length_a 4.661
_cell_length_b 6.537
_cell_length_c 13.992
_cell_angle_alpha 90.00
_cell_angle_beta 90.00
_cell_angle_gamma 90.00
_space_group_name_H-M_alt 'I m m m'
_space_group_IT_number 71
_space_group_name_Hall '-I 2 2'
loop_
_atom_site_label
_atom_site_type_symbol
_atom_site_fract_x
_atom_site_fract_y
_atom_site_fract_z
Zr1 Zr 0.000 0.246 0.000
Zr2 Zr 0.000 0.251 0.331
Zn1 Zn 0.000 0.000 0.500
Cu1 Cu 0.000 0.000 0.165
Cu2 Cu 0.000 0.500 0.162
Cu3 Cu 0.000 0.500 0.500

(12)
# K4LiCu3Cl12, optimized geometry, DFT PBE
# Energy relative to the elements, uncorrected, eV per atom: -1.179
# Volume, Å³ per atom: 23.43
# Spin magnetization, μB/f.u.: 0.00
data_K4LiCu3Cl12
_cell_length_a 9.787
_cell_length_b 9.787
_cell_length_c 9.787
_cell_angle_alpha 90.00
_cell_angle_beta 90.00
_cell_angle_gamma 90.00
_space_group_name_H-M_alt 'I m -3 m'
_space_group_IT_number 229
_space_group_name_Hall '-I 4 2 3'
loop_
_atom_site_label
_atom_site_type_symbol
_atom_site_fract_x
_atom_site_fract_y
_atom_site_fract_z
K1 K 0.250 0.250 0.250
Li1 Li 0.000 0.000 0.000
Cu1 Cu 0.000 0.000 0.500
Cl1 Cl 0.000 0.000 0.264
Cl2 Cl 0.000 0.250 0.500